Compound: La2TiGaO
Source: Alexandria via LeMat-Bulk
Functional: PBE
Structure: optimized geometry

DOS at the Fermi energy = 0.978 states/eV per atom
ΔE_f (raw) = -1.286 eV per atom
calculated total energy = -32.2 eV per cell

Cell lengths 5.2119, 5.2119, 4.0237 Å; angles 90.00, 90.00, 90.00 degrees
Closest atoms and distances in Å follow each position.
Space group P4/mmm (No. 123)
Symmetry-distinct sites (fractional):
1 La 0.0000 0.5000 0.0000 x2  2 O 2.61
2 Ti 0.0000 0.0000 0.5000 x1  2 O 2.01
3 Ga 0.5000 0.5000 0.5000 x1  8 La 3.29, 4 Ti 3.69
4 O 0.0000 0.0000 0.0000 x1  2 Ti 2.01